A plane-wave DFT calculation with GGA-PBE was carried out for an optimized crystal structure of SrNdP2Pd4.

Properties
calculated formation energy = -0.73 eV/atom
total moment = 0.00 μB per formula unit
space group = P4/mmm (123)

The structure in CIF format:
```
data_SrNdP2Pd4
_chemical_formula_sum 'Sr1 Nd1 P2 Pd4'
_symmetry_space_group_name_H-M 'P 1'
_symmetry_Int_Tables_number 1
_symmetry_space_group_name_Hall 'P 1'
_cell_length_a 4.134
_cell_length_b 4.134
_cell_length_c 9.956
_cell_angle_alpha 90.00
_cell_angle_beta 90.00
_cell_angle_gamma 90.00
loop_
_atom_site_label
_atom_site_type_symbol
_atom_site_fract_x
_atom_site_fract_y
_atom_site_fract_z
Pd1 Pd 0.500 0.000 0.780
Pd2 Pd 0.000 0.500 0.220
Pd3 Pd 0.500 0.000 0.220
Pd4 Pd 0.000 0.500 0.780
P1 P 0.500 0.500 0.336
P2 P 0.500 0.500 0.664
Nd1 Nd 0.000 0.000 0.000
Sr1 Sr 0.000 0.000 0.500
```